Entry 1:
Here is a geometry-optimized YHoErPu structure from Alexandria. Energies are from PBE-GGA.

* formation enthalpy at 0 K: 0.8 eV per formula unit

Lattice parameters (Å, degrees): 5.5670 5.5670 5.5670 60.00 60.00 60.00
Sites, in units of the cell vectors:
Ho  0.5000  0.5000  0.5000
Er  0.0000  0.0000  0.0000
Y  0.2500  0.2500  0.2500
Pu  0.7500  0.7500  0.7500

---

Entry 2:
Here is a geometry-optimized Y2Ho6Er3Pu structure from Alexandria. Energies are from PBE-GGA.

* formation enthalpy at 0 K: 0.6 eV per formula unit

Lattice parameters (Å, degrees): 6.0940 6.0940 11.6286 95.02 95.02 120.01
Sites, in units of the cell vectors:
Er  0.1672  0.8328  0.5000
Y  0.3334  0.6666  0.0000
Ho  0.4120  0.0827  0.2499
Er  0.8328  0.1672  0.5000
Ho  0.2467  0.2467  0.7500
Pu  0.0000  0.0000  0.0000
Ho  0.9173  0.5880  0.7501
Ho  0.0827  0.4120  0.2499
Y  0.6666  0.3334  0.0000
Ho  0.5880  0.9173  0.7501
Er  0.5000  0.5000  0.5000
Ho  0.7533  0.7533  0.2500

---

Entry 3:
Here is a geometry-optimized Y6Ho3Er2Pu structure from Alexandria. Energies are from PBE-GGA.

* formation enthalpy at 0 K: 0.6 eV per formula unit

Lattice parameters (Å, degrees): 6.1264 6.1264 11.6926 95.02 95.02 120.00
Sites, in units of the cell vectors:
Er  0.3334  0.6666  0.0000
Ho  0.5000  0.5000  0.5000
Pu  0.0000  0.0000  0.0000
Ho  0.8327  0.1673  0.5000
Y  0.2478  0.2478  0.7519
Y  0.4125  0.0824  0.2480
Y  0.7522  0.7522  0.2481
Er  0.6666  0.3334  0.0000
Y  0.5875  0.9176  0.7520
Y  0.0824  0.4125  0.2480
Y  0.9176  0.5875  0.7520
Ho  0.1673  0.8327  0.5000

---

Entry 4:
Here is a geometry-optimized Y3Ho6Er2Pu structure from Alexandria. Energies are from PBE-GGA.

* formation enthalpy at 0 K: 0.5 eV per formula unit

Lattice parameters (Å, degrees): 6.1018 6.1018 11.6460 95.02 95.02 120.00
Sites, in units of the cell vectors:
Y  0.8327  0.1673  0.5000
Pu  0.0000  0.0000  0.0000
Ho  0.0822  0.4120  0.2465
Ho  0.7524  0.7524  0.2465
Y  0.5000  0.5000  0.5000
Ho  0.2476  0.2476  0.7535
Er  0.6666  0.3334  0.0000
Ho  0.9178  0.5880  0.7535
Y  0.1673  0.8327  0.5000
Ho  0.5880  0.9178  0.7535
Ho  0.4120  0.0822  0.2465
Er  0.3334  0.6666  0.0000

---

Entry 5:
Here is a geometry-optimized RbHoEr4S8 structure from Alexandria. Energies are from PBE-GGA.

* electronic total energy: -83.36 eV for the cell shown

Lattice parameters (Å, degrees): 8.2047 8.2047 8.2226 60.07 60.07 60.00
Sites, in units of the cell vectors:
Er  0.6251  0.6251  0.1247
Er  0.0046  0.0046  0.5047
S  0.2317  0.2317  0.7295
S  0.7571  0.7571  0.7286
Er  0.4860  0.0046  0.5047
Rb  0.3742  0.3742  0.8774
S  0.8071  0.2317  0.7295
S  0.2317  0.8071  0.7295
Ho  0.0049  0.0049  0.9853
S  0.7568  0.2288  0.2576
S  0.7568  0.7568  0.2576
S  0.2288  0.7568  0.2576
Er  0.0046  0.4860  0.5047
S  0.2305  0.2305  0.3084

---

Entry 6:
Here is a geometry-optimized RbHo4ErS8 structure from Alexandria. Energies are from PBE-GGA.

* electronic total energy: -83.45 eV for the cell shown

Lattice parameters (Å, degrees): 8.2386 8.2386 8.2251 59.95 59.95 60.00
Sites, in units of the cell vectors:
S  0.2302  0.8076  0.7321
Ho  0.4859  0.0047  0.5047
S  0.8076  0.2302  0.7321
S  0.2302  0.2302  0.7321
S  0.7576  0.2282  0.2565
Er  0.0046  0.0046  0.9861
Ho  0.0047  0.0047  0.5047
Ho  0.0047  0.4859  0.5047
Ho  0.6249  0.6249  0.1252
S  0.2311  0.2311  0.3068
S  0.2282  0.7576  0.2565
S  0.7576  0.7576  0.2565
Rb  0.3755  0.3755  0.8735
S  0.7572  0.7572  0.7285

---

Entry 7:
Here is a geometry-optimized Rb3HoEr2S6 structure from Alexandria. Energies are from PBE-GGA.

* electronic total energy: -63.63 eV for the cell shown

Lattice parameters (Å, degrees): 7.0157 7.0157 8.0289 98.37 98.37 120.00
Sites, in units of the cell vectors:
Rb  0.1666  0.8334  0.5000
S  0.7292  0.7292  0.1906
Er  0.3333  0.6667  0.0000
Rb  0.5000  0.5000  0.5000
S  0.9365  0.6021  0.8094
S  0.6021  0.9365  0.8094
S  0.3979  0.0635  0.1906
Ho  0.0000  0.0000  0.0000
Rb  0.8334  0.1666  0.5000
S  0.2708  0.2708  0.8094
S  0.0635  0.3979  0.1906
Er  0.6667  0.3333  0.0000

---

Entry 8:
Here is a geometry-optimized Rb3Ho3ErSe8 structure from Alexandria. Energies are from PBE-GGA.

* electronic total energy: -74.11 eV for the cell shown

Lattice parameters (Å, degrees): 8.2885 8.2902 9.4933 115.90 90.00 119.99
Sites, in units of the cell vectors:
Ho  0.5000  0.0000  0.5000
Se  0.7322  0.4644  0.6949
Se  0.7311  0.9622  0.6923
Se  0.2311  0.9622  0.6923
Rb  0.0000  0.5000  0.0000
Rb  0.5000  0.5000  0.0000
Rb  0.0000  0.0000  0.0000
Er  0.0000  0.0000  0.5000
Ho  0.0000  0.5000  0.5000
Ho  0.5000  0.5000  0.5000
Se  0.2689  0.0378  0.3077
Se  0.2678  0.5356  0.3051
Se  0.7689  0.0378  0.3077
Se  0.2308  0.4615  0.6925
Se  0.7692  0.5385  0.3075

---

Entry 9:
Here is a geometry-optimized Rb3Ho2ErSe6 structure from Alexandria. Energies are from PBE-GGA.

* electronic total energy: -58.34 eV for the cell shown

Lattice parameters (Å, degrees): 7.3085 7.3085 8.3524 98.39 98.39 120.00
Sites, in units of the cell vectors:
Se  0.6028  0.9352  0.8056
Se  0.2675  0.2675  0.8054
Rb  0.8330  0.1670  0.5000
Se  0.3972  0.0648  0.1944
Se  0.9352  0.6028  0.8056
Er  0.0000  0.0000  0.0000
Se  0.7325  0.7325  0.1946
Ho  0.6666  0.3334  0.0000
Rb  0.5000  0.5000  0.5000
Rb  0.1670  0.8330  0.5000
Ho  0.3334  0.6666  0.0000
Se  0.0648  0.3972  0.1944

---

Entry 10:
Here is a geometry-optimized Rb4HoEr3Se8 structure from Alexandria. Energies are from PBE-GGA.

* electronic total energy: -77.73 eV for the cell shown

Lattice parameters (Å, degrees): 8.4257 9.3530 8.4260 116.79 120.00 90.00
Sites, in units of the cell vectors:
Se  0.2319  0.6943  0.4638
Rb  0.0000  0.0000  0.5000
Se  0.7314  0.6940  0.4627
Ho  0.0000  0.5000  0.0000
Rb  0.5000  0.0000  0.0000
Er  0.5000  0.5000  0.5000
Se  0.2694  0.3057  0.0375
Se  0.2319  0.6943  0.9625
Se  0.7681  0.3057  0.0375
Se  0.2686  0.3060  0.5373
Se  0.7306  0.6943  0.9625
Rb  0.0000  0.0000  0.0000
Er  0.5000  0.5000  0.0000
Er  0.0000  0.5000  0.5000
Rb  0.5000  0.0000  0.5000
Se  0.7681  0.3057  0.5362

---

Entry 11:
Here is a geometry-optimized Rb4Ho3ErSe8 structure from Alexandria. Energies are from PBE-GGA.

* electronic total energy: -77.80 eV for the cell shown

Lattice parameters (Å, degrees): 8.4415 9.3593 8.4417 116.82 120.00 90.00
Sites, in units of the cell vectors:
Ho  0.0000  0.5000  0.5000
Se  0.2683  0.3051  0.5367
Se  0.2311  0.6945  0.9635
Rb  0.0000  0.0000  0.0000
Rb  0.0000  0.0000  0.5000
Er  0.0000  0.5000  0.0000
Se  0.2676  0.3055  0.0365
Rb  0.5000  0.0000  0.0000
Se  0.7689  0.3055  0.5378
Se  0.7324  0.6945  0.9635
Se  0.7317  0.6949  0.4633
Ho  0.5000  0.5000  0.5000
Se  0.2311  0.6945  0.4622
Se  0.7689  0.3055  0.0365
Ho  0.5000  0.5000  0.0000
Rb  0.5000  0.0000  0.5000

---

Entry 12:
Here is a geometry-optimized Rb4Ho3ErTe8 structure from Alexandria. Energies are from PBE-GGA.

* electronic total energy: -69.29 eV for the cell shown

Lattice parameters (Å, degrees): 9.0151 10.0098 9.0158 116.79 120.00 90.00
Sites, in units of the cell vectors:
Er  0.0000  0.5000  0.0000
Rb  0.0000  0.0000  0.0000
Te  0.7335  0.6981  0.9659
Ho  0.5000  0.5000  0.5000
Te  0.7677  0.3019  0.0341
Te  0.2324  0.6981  0.4647
Rb  0.5000  0.0000  0.5000
Te  0.7329  0.6985  0.4657
Rb  0.0000  0.0000  0.5000
Ho  0.0000  0.5000  0.5000
Te  0.7676  0.3019  0.5353
Te  0.2671  0.3015  0.5343
Te  0.2665  0.3019  0.0341
Rb  0.5000  0.0000  0.0000
Te  0.2324  0.6981  0.9659
Ho  0.5000  0.5000  0.0000

---

Entry 13:
Here is a geometry-optimized Rb3HoEr2Te6 structure from Alexandria. Energies are from PBE-GGA.

* electronic total energy: -51.91 eV for the cell shown

Lattice parameters (Å, degrees): 7.7968 7.7968 8.9340 98.37 98.37 119.99
Sites, in units of the cell vectors:
Er  0.3334  0.6666  0.0000
Ho  0.0000  0.0000  0.0000
Rb  0.8334  0.1666  0.5000
Rb  0.1666  0.8334  0.5000
Er  0.6666  0.3334  0.0000
Te  0.4001  0.0659  0.1979
Te  0.2682  0.2682  0.8020
Te  0.7318  0.7318  0.1980
Te  0.5999  0.9341  0.8021
Te  0.0659  0.4001  0.1979
Te  0.9341  0.5999  0.8021
Rb  0.5000  0.5000  0.5000

---

Entry 14:
Here is a geometry-optimized Rb4HoEr3Te8 structure from Alexandria. Energies are from PBE-GGA.

* electronic total energy: -69.20 eV for the cell shown

Lattice parameters (Å, degrees): 9.0014 10.0045 9.0019 116.76 120.00 90.00
Sites, in units of the cell vectors:
Ho  0.0000  0.5000  0.0000
Te  0.7669  0.3020  0.5338
Er  0.5000  0.5000  0.5000
Rb  0.0000  0.0000  0.0000
Te  0.2681  0.3020  0.0350
Te  0.7669  0.3020  0.0350
Er  0.0000  0.5000  0.5000
Te  0.7326  0.6976  0.4652
Rb  0.5000  0.0000  0.5000
Te  0.2674  0.3024  0.5348
Er  0.5000  0.5000  0.0000
Te  0.2331  0.6980  0.9650
Rb  0.5000  0.0000  0.0000
Rb  0.0000  0.0000  0.5000
Te  0.7319  0.6980  0.9650
Te  0.2331  0.6980  0.4662

---

Entry 15:
Here is a geometry-optimized Rb3Ho3ErTe8 structure from Alexandria. Energies are from PBE-GGA.

* electronic total energy: -65.97 eV for the cell shown

Lattice parameters (Å, degrees): 8.7734 8.7788 10.1987 115.52 90.00 120.00
Sites, in units of the cell vectors:
Ho  0.5000  0.0000  0.5000
Te  0.2682  0.0347  0.3016
Te  0.2334  0.4669  0.6984
Er  0.0000  0.0000  0.5000
Te  0.7332  0.4664  0.6993
Te  0.2335  0.9652  0.6984
Ho  0.5000  0.5000  0.5000
Ho  0.0000  0.5000  0.5000
Te  0.7665  0.0348  0.3016
Te  0.7666  0.5331  0.3016
Rb  0.5000  0.5000  0.0000
Rb  0.0000  0.5000  0.0000
Te  0.7318  0.9653  0.6984
Rb  0.0000  0.0000  0.0000
Te  0.2668  0.5336  0.3007

---

Entry 16:
Here is a geometry-optimized Rb3HoEr3Te8 structure from Alexandria. Energies are from PBE-GGA.

* electronic total energy: -65.89 eV for the cell shown

Lattice parameters (Å, degrees): 8.7557 8.7608 10.1871 115.48 90.00 120.00
Sites, in units of the cell vectors:
Er  0.0000  0.5000  0.5000
Rb  0.0000  0.0000  0.0000
Te  0.7656  0.5312  0.3016
Te  0.7299  0.9643  0.6984
Te  0.7329  0.4658  0.6985
Rb  0.0000  0.5000  0.0000
Rb  0.5000  0.5000  0.0000
Te  0.2344  0.9643  0.6984
Er  0.5000  0.5000  0.5000
Te  0.2344  0.4688  0.6984
Te  0.7656  0.0357  0.3016
Ho  0.0000  0.0000  0.5000
Te  0.2701  0.0357  0.3016
Te  0.2671  0.5342  0.3015
Er  0.5000  0.0000  0.5000

---

Entry 17:
Here is a geometry-optimized Ho2ErRe structure from Alexandria. Energies are from PBE-GGA.

* formation enthalpy at 0 K: 3.1 eV per formula unit

Lattice parameters (Å, degrees): 3.2033 3.2033 11.4042 81.93 81.93 60.00
Sites, in units of the cell vectors:
Re  0.0000  0.0000  0.0000
Ho  0.0795  0.0795  0.7614
Ho  0.9205  0.9205  0.2386
Er  0.5000  0.5000  0.5000

---

Entry 18:
Here is a geometry-optimized HoEr2Re structure from Alexandria. Energies are from PBE-GGA.

* formation enthalpy at 0 K: 3.1 eV per formula unit

Lattice parameters (Å, degrees): 3.1965 3.1965 11.3860 81.93 81.93 60.00
Sites, in units of the cell vectors:
Re  0.0000  0.0000  0.0000
Er  0.0796  0.0796  0.7613
Er  0.9204  0.9204  0.2387
Ho  0.5000  0.5000  0.5000

---

Entry 19:
Here is a geometry-optimized HoErRe4 structure from Alexandria. Energies are from PBE-GGA.

* formation enthalpy at 0 K: -1.3 eV per formula unit

Lattice parameters (Å, degrees): 5.4028 5.4028 5.4028 60.00 60.00 60.00
Sites, in units of the cell vectors:
Re  0.6250  0.6250  0.6250
Er  0.0000  0.0000  0.0000
Re  0.1250  0.6250  0.6250
Ho  0.2500  0.2500  0.2500
Re  0.6250  0.6250  0.1250
Re  0.6250  0.1250  0.6250

---

Entry 20:
Here is a geometry-optimized HoErZnRe structure from Alexandria. Energies are from PBE-GGA.

* formation enthalpy at 0 K: -0.2 eV per formula unit

Lattice parameters (Å, degrees): 4.8910 4.8910 4.8910 60.00 60.00 60.00
Sites, in units of the cell vectors:
Zn  0.5000  0.5000  0.5000
Re  0.0000  0.0000  0.0000
Er  0.7500  0.7500  0.7500
Ho  0.2500  0.2500  0.2500